Entry 1:
{
  "formula": "La2PuGaN5",
  "functional": "GGA-PBE",
  "state": "relaxed",
  "dos_at_fermi_per_ev_cell": 5.92,
  "spacegroup": "No. 36",
  "magnetic_moment_mub_per_fu": 2.00,
  "e_form_raw_kj_per_mol_atoms": -93.2,
  "cell": [[-1.532, 3.038, -0.742], [-0.032, -3.573, -6.398], [-9.527, -4.217, 2.403]],
  "species": ["La", "La", "La", "La", "Pu", "Pu", "N", "N", "N", "N", "N", "N", "N", "N", "N", "N", "Ga", "Ga"],
  "fractional_positions": [[0.131, 0.261, 0.312], [0.895, 0.790, 0.185], [0.105, 0.210, 0.685], [0.869, 0.739, 0.812], [0.793, 0.587, 0.520], [0.207, 0.413, 0.020], [0.347, 0.695, 0.005], [0.054, 0.109, 0.038], [0.506, 0.013, 0.282], [0.946, 0.891, 0.538], [0.718, 0.436, 0.148], [0.309, 0.619, 0.389], [0.691, 0.381, 0.889], [0.653, 0.305, 0.505], [0.282, 0.564, 0.648], [0.494, 0.987, 0.782], [0.454, 0.907, 0.446], [0.546, 0.093, 0.946]]
}

Entry 2:
{
  "formula": "NdMg2Ag",
  "functional": "GGA-PBE",
  "state": "relaxed",
  "dos_at_fermi_per_ev_cell": 3.67,
  "spacegroup": "No. 123",
  "magnetic_moment_mub_per_fu": 0.00,
  "final_energy_ev_per_atom": -2.80,
  "cell": [[-2.908, -0.920, -3.952], [2.298, -3.759, -0.816], [-2.826, -2.294, 2.613]],
  "species": ["Ag", "Nd", "Mg", "Mg"],
  "fractional_positions": [[0.500, 0.000, 0.000], [0.500, 0.500, 0.500], [0.000, 0.500, 0.000], [0.000, 0.000, 0.500]]
}